# NaTlGe

A geometry-optimized NaTlGe structure (PBE, Alexandria via LeMat-Bulk).

Calculated formation energy (eV/atom): 0.044
Space-group type: Pnma
Magnetic moment (μB/atom): 0.00
ρ (g/cm3): 6.35
V (A^3/atom): 26.16
DOS at the Fermi energy (states/eV/atom): 0.3212

abc: 7.7556 4.7721 8.4823
angles: 90.00 90.00 90.00
Closest atoms and distances in Å follow each position.
Atoms (fractional coordinates):
Ge1 0.7900 0.7500 0.5970  4 Tl 2.85-2.92
Tl1 0.3341 0.2500 0.0861  4 Ge 2.85-2.92
Na1 0.4892 0.2500 0.6811  5 Ge 3.20-3.41, 5 Tl 3.39-3.55
Na2 0.0108 0.7500 0.1811  5 Ge 3.20-3.41, 5 Tl 3.39-3.55
Ge2 0.7100 0.2500 0.0970  4 Tl 2.85-2.92
Ge3 0.2100 0.2500 0.4030  4 Tl 2.85-2.92
Na3 0.9892 0.2500 0.8189  5 Ge 3.20-3.41, 5 Tl 3.39-3.55
Tl2 0.6659 0.7500 0.9139  4 Ge 2.85-2.92
Tl3 0.8341 0.2500 0.4139  4 Ge 2.85-2.92
Ge4 0.2900 0.7500 0.9030  4 Tl 2.85-2.92
Tl4 0.1659 0.7500 0.5861  4 Ge 2.85-2.92
Na4 0.5108 0.7500 0.3189  5 Ge 3.20-3.41, 5 Tl 3.39-3.55